Here is a geometry-optimized Bi2Te2Pb structure from the Alexandria database. Energies are from PBE.

The value obtained for the final energy is -17.42 eV per formula unit. Its density is 8.47 g cm⁻³. For the energy above the lowest structure with this stoichiometry, the calculation gives 0.060 eV/atom. The uncorrected formation energy comes out at 0.33 eV/f.u. For the total magnetization, the calculation gives 0.0 μB/cell.

The space group is I4/mmm (No. 139) and the conventional cell measures 4.433, 4.433 and 17.571 Å, with angles of 90.00, 90.00 and 90.00 degrees. The asymmetric unit holds Bi at (0.000, 0.500, 0.250), Te at (0.000, 0.000, 0.091) and Pb at (0.000, 0.000, 0.500).